Record 1
# Na8Sr3Li | Alexandria | PBE | optimized geometry
# E_tot	-1.41	eV/atom
data_Na8Sr3Li
_space_group_name_H-M_alt 'R 3 m'
_space_group_IT_number 160
_space_group_name_Hall 'R 3 -2"'
_cell_length_a 7.0236
_cell_length_b 7.0236
_cell_length_c 34.0491
_cell_angle_alpha 90.00
_cell_angle_beta 90.00
_cell_angle_gamma 120.00
loop_
_atom_site_label
_atom_site_fract_x
_atom_site_fract_y
_atom_site_fract_z
Na1 0.0000 0.0000 0.0000
Na2 0.0000 0.0000 0.4991
Na3 0.1672 0.3344 0.0843
Na4 0.1676 0.3353 0.5814
Sr1 0.0000 0.0000 0.1850
Sr2 0.0000 0.0000 0.3120
Sr3 0.0000 0.0000 0.6905
Li1 0.0000 0.0000 0.8139

Record 2
# NaSr6Li | Alexandria | PBE | optimized geometry
# ΔE to the lowest computed polymorph	0	meV per atom
data_NaSr6Li
_space_group_name_H-M_alt 'I 4/m m m'
_space_group_IT_number 139
_space_group_name_Hall '-I 4 2'
_cell_length_a 6.259
_cell_length_b 6.259
_cell_length_c 19.804
_cell_angle_alpha 90.00
_cell_angle_beta 90.00
_cell_angle_gamma 90.00
loop_
_atom_site_label
_atom_site_fract_x
_atom_site_fract_y
_atom_site_fract_z
Na1 0.000 0.000 0.000
Sr1 0.000 0.000 0.250
Sr2 0.000 0.500 0.108
Li1 0.000 0.000 0.500

Record 3
# Na2Sr3Li | Alexandria | PBE | optimized geometry
# E_tot	-1.57	eV/atom
data_Na2Sr3Li
_space_group_name_H-M_alt 'C m m m'
_space_group_IT_number 65
_space_group_name_Hall '-C 2 2'
_cell_length_a 6.138
_cell_length_b 18.389
_cell_length_c 9.165
_cell_angle_alpha 90.00
_cell_angle_beta 90.00
_cell_angle_gamma 90.00
loop_
_atom_site_label
_atom_site_fract_x
_atom_site_fract_y
_atom_site_fract_z
Na1 0.000 0.000 0.000
Na2 0.000 0.000 0.500
Na3 0.000 0.334 0.000
Sr1 0.000 0.170 0.266
Sr2 0.000 0.500 0.261
Li1 0.000 0.335 0.500

Record 4
# Na4Sr5Li2 | Alexandria | PBE | optimized geometry
# E_tot	-1.55	eV/atom
data_Na4Sr5Li2
_space_group_name_H-M_alt 'P b a m'
_space_group_IT_number 55
_space_group_name_Hall '-P 2 2ab'
_cell_length_a 9.863
_cell_length_b 21.365
_cell_length_c 4.447
_cell_angle_alpha 90.00
_cell_angle_beta 90.00
_cell_angle_gamma 90.00
loop_
_atom_site_label
_atom_site_fract_x
_atom_site_fract_y
_atom_site_fract_z
Na1 0.094 0.151 0.000
Na2 0.205 0.438 0.000
Sr1 0.000 0.000 0.500
Sr2 0.112 0.586 0.500
Sr3 0.227 0.789 0.500
Li1 0.012 0.703 0.000

Record 5
# Na2SrLi | Alexandria | PBE | optimized geometry
# ΔE to the lowest computed polymorph	44	meV per atom
data_Na2SrLi
_space_group_name_H-M_alt 'P 4/m m m'
_space_group_IT_number 123
_space_group_name_Hall '-P 4 2'
_cell_length_a 5.139
_cell_length_b 5.139
_cell_length_c 5.841
_cell_angle_alpha 90.00
_cell_angle_beta 90.00
_cell_angle_gamma 90.00
loop_
_atom_site_label
_atom_site_fract_x
_atom_site_fract_y
_atom_site_fract_z
Na1 0.000 0.500 0.000
Sr1 0.000 0.000 0.500
Li1 0.500 0.500 0.500

Record 6
# Na5Sr4Li | Alexandria | PBE | optimized geometry
# E_tot	-1.45	eV/atom
data_Na5Sr4Li
_space_group_name_H-M_alt 'I m m m'
_space_group_IT_number 71
_space_group_name_Hall '-I 2 2'
_cell_length_a 6.071
_cell_length_b 11.738
_cell_length_c 12.201
_cell_angle_alpha 90.00
_cell_angle_beta 90.00
_cell_angle_gamma 90.00
loop_
_atom_site_label
_atom_site_fract_x
_atom_site_fract_y
_atom_site_fract_z
Na1 0.000 0.000 0.000
Na2 0.000 0.167 0.217
Sr1 0.000 0.299 0.500
Sr2 0.000 0.500 0.172
Li1 0.000 0.000 0.500

Record 7
# Na3Sr3Li8 | Alexandria | PBE | optimized geometry
# E_tot	-1.69	eV/atom
data_Na3Sr3Li8
_space_group_name_H-M_alt 'I m m m'
_space_group_IT_number 71
_space_group_name_Hall '-I 2 2'
_cell_length_a 5.240
_cell_length_b 10.815
_cell_length_c 15.648
_cell_angle_alpha 90.00
_cell_angle_beta 90.00
_cell_angle_gamma 90.00
loop_
_atom_site_label
_atom_site_fract_x
_atom_site_fract_y
_atom_site_fract_z
Na1 0.000 0.000 0.000
Na2 0.000 0.288 0.500
Sr1 0.000 0.500 0.000
Sr2 0.000 0.500 0.293
Li1 0.000 0.140 0.329
Li2 0.000 0.226 0.149

Record 8
# Na4Sr2Li | Alexandria | PBE | optimized geometry
# ΔE to the lowest computed polymorph	105	meV per atom
data_Na4Sr2Li
_space_group_name_H-M_alt 'I 4/m m m'
_space_group_IT_number 139
_space_group_name_Hall '-I 4 2'
_cell_length_a 5.657
_cell_length_b 5.657
_cell_length_c 18.785
_cell_angle_alpha 90.00
_cell_angle_beta 90.00
_cell_angle_gamma 90.00
loop_
_atom_site_label
_atom_site_fract_x
_atom_site_fract_y
_atom_site_fract_z
Na1 0.000 0.000 0.162
Na2 0.000 0.500 0.000
Sr1 0.000 0.000 0.362
Li1 0.000 0.000 0.000

Record 9
# Na2SrLi3 | Alexandria | PBE | optimized geometry
# E_tot	-1.60	eV/atom
data_Na2SrLi3
_space_group_name_H-M_alt 'I m m a'
_space_group_IT_number 74
_space_group_name_Hall '-I 2b 2'
_cell_length_a 10.358
_cell_length_b 11.424
_cell_length_c 6.504
_cell_angle_alpha 90.00
_cell_angle_beta 90.00
_cell_angle_gamma 90.00
loop_
_atom_site_label
_atom_site_fract_x
_atom_site_fract_y
_atom_site_fract_z
Na1 0.000 0.083 0.248
Sr1 0.000 0.250 0.749
Li1 0.249 0.000 0.500
Li2 0.250 0.250 0.250

Record 10
# NaSrLi3 | Alexandria | PBE | optimized geometry
# ΔE to the lowest computed polymorph	32	meV per atom
data_NaSrLi3
_space_group_name_H-M_alt 'P 63/m m c'
_space_group_IT_number 194
_space_group_name_Hall '-P 6c 2c'
_cell_length_a 7.4491
_cell_length_b 7.4491
_cell_length_c 6.5832
_cell_angle_alpha 90.00
_cell_angle_beta 90.00
_cell_angle_gamma 120.00
loop_
_atom_site_label
_atom_site_fract_x
_atom_site_fract_y
_atom_site_fract_z
Na1 0.0000 0.0000 0.0000
Sr1 0.3333 0.6667 0.2500
Li1 0.2019 0.4039 0.7500

Record 11
# NaSrLi3 | Alexandria | PBE | optimized geometry
# ΔE to the lowest computed polymorph	580	meV per atom
data_NaSrLi3
_space_group_name_H-M_alt 'P m -3 m'
_space_group_IT_number 221
_space_group_name_Hall '-P 4 2 3'
_cell_length_a 6.116
_cell_length_b 6.116
_cell_length_c 6.116
_cell_angle_alpha 90.00
_cell_angle_beta 90.00
_cell_angle_gamma 90.00
loop_
_atom_site_label
_atom_site_fract_x
_atom_site_fract_y
_atom_site_fract_z
Na1 0.000 0.000 0.000
Sr1 0.500 0.500 0.500
Li1 0.000 0.500 0.500

Record 12
# Na2SrLi | Alexandria | PBE | optimized geometry
# ΔE to the lowest computed polymorph	12	meV per atom
data_Na2SrLi
_space_group_name_H-M_alt 'C m c m'
_space_group_IT_number 63
_space_group_name_Hall '-C 2c 2'
_cell_length_a 5.131
_cell_length_b 12.808
_cell_length_c 9.148
_cell_angle_alpha 90.00
_cell_angle_beta 90.00
_cell_angle_gamma 90.00
loop_
_atom_site_label
_atom_site_fract_x
_atom_site_fract_y
_atom_site_fract_z
Na1 0.000 0.144 0.055
Sr1 0.000 0.437 0.250
Li1 0.000 0.276 0.750

Number 1: magnetic moment 0.0 μB/cell. Number 2: magnetic moment 0.0 μB/cell. Number 3: magnetic moment 0.0 μB/cell. Number 4: magnetic moment 0.0 μB/cell. Number 5: magnetic moment 0.0 μB/cell. Number 6: magnetic moment 0.0 μB/cell. Number 7: magnetic moment 0.0 μB/cell. Number 8: magnetic moment 0.0 μB/cell. Number 9: magnetic moment 0.0 μB/cell. Number 10: magnetic moment 0.0 μB/cell. Number 11: magnetic moment 0.0 μB/cell. Number 12: magnetic moment 0.0 μB/cell.